(1)
This record from the Alexandria database describes a relaxed Ca4Te3As crystal. The functional is PBE.

Cell lengths 6.3050, 6.3050, 6.3050 Å; angles 90.00, 90.00, 90.00 degrees
Sites, in units of the cell vectors:
1 Ca 0.5000 0.0000 0.0000
2 As 0.0000 0.0000 0.0000
3 Ca 0.5000 0.5000 0.5000
4 Ca 0.0000 0.0000 0.5000
5 Te 0.5000 0.5000 0.0000
6 Te 0.0000 0.5000 0.5000
7 Ca 0.0000 0.5000 0.0000
8 Te 0.5000 0.0000 0.5000

Summary:
The space-group type is Pm-3m. For the volume, the calculation gives 251 Å³/cell. The calculation puts the total magnetic moment at 0.0001 μB/atom. The value obtained for the uncorrected energy is -33.2 eV/cell.



(2)
This record from the Alexandria database describes a relaxed CaTeAs crystal. The functional is PBE.

Cell lengths 5.0546, 5.0546, 5.0546 Å; angles 60.00, 60.00, 60.00 degrees
Sites, in units of the cell vectors:
1 As 0.5000 0.5000 0.5000
2 Te 0.0000 0.0000 0.0000
3 Ca 0.7500 0.7500 0.7500

Summary:
The space-group type is F-43m. For the volume, the calculation gives 91 Å³/cell. The calculation puts the total magnetic moment at 0.0000 μB/atom. The value obtained for the uncorrected energy is -11.1 eV/cell.



(3)
This record from the Alexandria database describes a relaxed CaTeAs3 crystal. The functional is PBE.

Cell lengths 5.3180, 5.3180, 5.3180 Å; angles 90.00, 90.00, 90.00 degrees
Sites, in units of the cell vectors:
1 As 0.0000 0.5000 0.0000
2 Ca 0.5000 0.5000 0.5000
3 Te 0.0000 0.0000 0.0000
4 As 0.5000 0.0000 0.0000
5 As 0.0000 0.0000 0.5000

Summary:
The space-group type is Pm-3m. For the volume, the calculation gives 150 Å³/cell. The calculation puts the total magnetic moment at 0.0000 μB/atom. The value obtained for the uncorrected energy is -17.4 eV/cell. For the energy above the most stable polymorph in this dataset, the calculation gives 0.0 meV/atom.



(4)
This record from the Alexandria database describes a relaxed CaTe2As2 crystal. The functional is PBE.

Cell lengths 8.0540, 8.0540, 4.1936 Å; angles 90.00, 90.00, 90.00 degrees
Sites, in units of the cell vectors:
1 Ca 0.5000 0.5000 0.0000
2 Te 0.3015 0.1985 0.5000
3 Te 0.6985 0.8015 0.5000
4 As 0.1461 0.3539 0.0000
5 Te 0.1985 0.6985 0.5000
6 Ca 0.0000 0.0000 0.0000
7 As 0.3539 0.8539 0.0000
8 As 0.6461 0.1461 0.0000
9 As 0.8539 0.6461 0.0000
10 Te 0.8015 0.3015 0.5000

Summary:
The space-group type is P4/mbm. For the volume, the calculation gives 272 Å³/cell. The calculation puts the total magnetic moment at 0.0000 μB/atom. The value obtained for the uncorrected energy is -38.9 eV/cell. For the energy above the most stable polymorph in this dataset, the calculation gives 0.0 meV/atom.



(5)
This record from the Alexandria database describes a relaxed Ca2TeAs crystal. The functional is PBE.

Cell lengths 8.0845, 8.0845, 6.7773 Å; angles 53.38, 53.38, 90.00 degrees
Sites, in units of the cell vectors:
1 As 0.5000 0.5000 0.0000
2 Ca 0.1504 0.6250 0.2500
3 Te 0.0000 0.0000 0.0000
4 Ca 0.5996 0.1250 0.2500
5 As 0.2500 0.7500 0.5000
6 Te 0.7500 0.2500 0.5000
7 Ca 0.8750 0.8496 0.7500
8 Ca 0.3750 0.4004 0.7500

Summary:
The space-group type is I-42d. For the volume, the calculation gives 238 Å³/cell. The calculation puts the total magnetic moment at 0.0000 μB/atom. The value obtained for the uncorrected energy is -31.8 eV/cell. For the energy above the most stable polymorph in this dataset, the calculation gives 159.2 meV/atom.



(6)
This record from the Alexandria database describes a relaxed CaTeAs crystal. The functional is PBE.

Cell lengths 8.4225, 8.4219, 3.2423 Å; angles 78.91, 78.89, 22.20 degrees
Sites, in units of the cell vectors:
1 Te 0.6914 0.6914 0.3086
2 Ca 0.3399 0.3399 0.6601
3 As 0.9686 0.9686 0.0314

Summary:
The space-group type is I4mm. For the volume, the calculation gives 85 Å³/cell. The calculation puts the total magnetic moment at 0.0000 μB/atom. The value obtained for the uncorrected energy is -11.0 eV/cell.



(7)
This record from the Alexandria database describes a relaxed Ca2TeAs crystal. The functional is PBE.

Cell lengths 8.3879, 8.3879, 8.3879 Å; angles 151.27, 155.18, 38.33 degrees
Sites, in units of the cell vectors:
1 Te 0.4552 0.4552 0.0000
2 As 0.1992 0.6992 0.5000
3 Ca 0.7847 0.2847 0.5000
4 Ca 0.0609 0.0609 0.0000

Summary:
The space-group type is Imm2. For the volume, the calculation gives 119 Å³/cell. The calculation puts the total magnetic moment at 0.0000 μB/atom. The value obtained for the uncorrected energy is -16.2 eV/cell. For the energy above the most stable polymorph in this dataset, the calculation gives 94.3 meV/atom.



(8)
This record from the Alexandria database describes a relaxed Ca6Te4As crystal. The functional is PBE.

Cell lengths 8.8926, 8.8926, 8.8926 Å; angles 90.88, 90.88, 89.12 degrees
Sites, in units of the cell vectors:
1 Ca 0.9214 0.6994 0.9441
2 Ca 0.5786 0.4441 0.1994
3 Te 0.1183 0.7500 0.6183
4 Ca 0.6994 0.0559 0.0786
5 Te 0.8817 0.2500 0.3817
6 Ca 0.8006 0.5786 0.5559
7 Te 0.3817 0.1183 0.2500
8 Te 0.6183 0.8817 0.7500
9 Te 0.7500 0.3817 0.8817
10 Ca 0.3006 0.9441 0.9214
11 Te 0.7500 0.7500 0.2500
12 As 0.5000 0.5000 0.5000
13 Ca 0.0786 0.3006 0.0559
14 Ca 0.9441 0.0786 0.6994
15 Ca 0.1994 0.4214 0.4441
16 Ca 0.4214 0.5559 0.8006
17 As 0.0000 0.0000 0.0000
18 Ca 0.0559 0.9214 0.3006
19 Te 0.2500 0.6183 0.1183
20 Ca 0.4441 0.8006 0.4214
21 Te 0.2500 0.2500 0.7500
22 Ca 0.5559 0.1994 0.5786

Summary:
The space-group type is R-3c. For the volume, the calculation gives 703 Å³/cell. The calculation puts the total magnetic moment at 0.0869 μB/atom. The value obtained for the uncorrected energy is -87.6 eV/cell.